Below is Sr2AgIr after structural relaxation, with properties calculated at the GGA-PBEsol level.

Results
symmetry = P4mm
density of states at the Fermi level = 0.438 states/eV/atom
raw total energy = -3.949 eV/atom

a = 4.1966 Å, b = 4.1966 Å, c = 6.1633 Å
α = 90.00°, β = 90.00°, γ = 90.00°
Closest atoms and distances in Å follow each position.
Sites, in units of the cell vectors:
Sr (0.0000, 0.0000, 0.0000)  1 Ag 2.85, 4 Ir 3.05
Sr (0.5000, 0.5000, 0.4022)  2 Ir 2.96-3.20, 4 Ag 3.08
Ag (0.0000, 0.0000, 0.5372)  5 Sr 2.85-3.08
Ir (0.5000, 0.5000, 0.8826)  6 Sr 2.96-3.20

Below is BaMgAg after structural relaxation, with properties calculated at the GGA-PBEsol level.

Results
symmetry = P-6m2
density of states at the Fermi level = 0.671 states/eV/atom
raw total energy = -2.531 eV/atom

a = 4.8727 Å, b = 4.8727 Å, c = 4.6035 Å
α = 90.00°, β = 90.00°, γ = 120.00°
Closest atoms and distances in Å follow each position.
Sites, in units of the cell vectors:
Ba (0.0000, 0.0000, 0.0000)  6 Mg 3.63, 6 Ag 3.63
Mg (0.3333, 0.6667, 0.5000)  3 Ag 2.81
Ag (0.6667, 0.3333, 0.5000)  3 Mg 2.81

Below is SnPAuF2 after structural relaxation, with properties calculated at the GGA-PBEsol level.

Results
symmetry = P4/mmm
density of states at the Fermi level = 0.408 states/eV/atom
uncorrected formation energy = -0.69 eV/atom

a = 4.1044 Å, b = 4.1044 Å, c = 5.4896 Å
α = 90.00°, β = 90.00°, γ = 90.00°
Closest atoms and distances in Å follow each position.
Sites, in units of the cell vectors:
Sn (0.0000, 0.0000, 0.0000)  4 F 2.05
P (0.5000, 0.5000, 0.5000)  4 Au 2.90
Au (0.0000, 0.0000, 0.5000)  2 Sn 2.74, 4 P 2.90
F (0.0000, 0.5000, 0.0000)  2 Sn 2.05
F (0.5000, 0.0000, 0.0000)  2 Sn 2.05

Below is TiNbPd2W after structural relaxation, with properties calculated at the GGA-PBEsol level.

Results
symmetry = P4/mmm
density of states at the Fermi level = 0.913 states/eV/atom
raw total energy = -7.308 eV/atom

a = 4.6431 Å, b = 4.6431 Å, c = 4.5674 Å
α = 90.00°, β = 90.00°, γ = 90.00°
Closest atoms and distances in Å follow each position.
Sites, in units of the cell vectors:
Ti (0.0000, 0.0000, 0.0000)  2 Nb 2.28
Nb (0.0000, 0.0000, 0.5000)  2 Ti 2.28, 4 Pd 2.32
Pd (0.0000, 0.5000, 0.5000)  2 Nb 2.32
Pd (0.5000, 0.0000, 0.5000)  2 Nb 2.32
W (0.5000, 0.5000, 0.0000)  8 Pd 3.26, 4 Ti 3.28

Below is Zr2ZnBr after structural relaxation, with properties calculated at the GGA-PBEsol level.

Results
symmetry = I-4m2
density of states at the Fermi level = 1.137 states/eV/atom
uncorrected formation energy = 0.03 eV/atom

a = 5.6255 Å, b = 5.6255 Å, c = 5.6255 Å
α = 138.38°, β = 138.38°, γ = 60.31°
Closest atoms and distances in Å follow each position.
Sites, in units of the cell vectors:
Zr (0.0000, 0.0000, 0.0000)  4 Br 2.83, 4 Zr 3.15, 4 Zn 3.15
Zr (0.7500, 0.2500, 0.5000)  4 Zn 2.83, 4 Zr 3.15, 4 Br 3.15
Zn (0.2500, 0.7500, 0.5000)  8 Zr 2.83-3.15, 4 Br 3.15
Br (0.5000, 0.5000, 0.0000)  8 Zr 2.83-3.15, 4 Zn 3.15

Below is ScSiPd after structural relaxation, with properties calculated at the GGA-PBEsol level.

Results
symmetry = Pnma
density of states at the Fermi level = 0.800 states/eV/atom
uncorrected formation energy = -1.04 eV/atom

a = 6.5032 Å, b = 3.9686 Å, c = 7.4703 Å
α = 90.00°, β = 90.00°, γ = 90.00°
Closest atoms and distances in Å follow each position.
Sites, in units of the cell vectors:
Sc (0.0179, 0.2500, 0.1854)  5 Si 2.80-2.82, 6 Pd 2.94-3.02
Sc (0.4821, 0.7500, 0.6854)  5 Si 2.80-2.82, 6 Pd 2.94-3.02
Sc (0.5179, 0.2500, 0.3146)  5 Si 2.80-2.82, 6 Pd 2.94-3.02
Sc (0.9821, 0.7500, 0.8146)  5 Si 2.80-2.82, 6 Pd 2.94-3.02
Si (0.2247, 0.7500, 0.3837)  4 Pd 2.45-2.52
Si (0.2753, 0.2500, 0.8837)  4 Pd 2.45-2.52
Si (0.7247, 0.7500, 0.1163)  4 Pd 2.45-2.52
Si (0.7753, 0.2500, 0.6163)  4 Pd 2.45-2.52
Pd (0.1584, 0.2500, 0.5672)  4 Si 2.45-2.52
Pd (0.3416, 0.7500, 0.0672)  4 Si 2.45-2.52
Pd (0.6584, 0.2500, 0.9328)  4 Si 2.45-2.52
Pd (0.8416, 0.7500, 0.4328)  4 Si 2.45-2.52

Below is La2Ti3O9 after structural relaxation, with properties calculated at the GGA-PBEsol level.

Results
symmetry = P1
density of states at the Fermi level = 0.000 states/eV/atom
uncorrected formation energy = -3.17 eV/atom

a = 6.4009 Å, b = 7.5288 Å, c = 8.4513 Å
α = 89.89°, β = 73.61°, γ = 86.04°
Closest atoms and distances in Å follow each position.
Sites, in units of the cell vectors:
La (0.0000, 0.0000, 0.0000)  7 O 2.37-2.60
La (0.0268, 0.2428, 0.6123)  6 O 2.37-2.49
La (0.2574, 0.5945, 0.3143)  5 O 2.29-2.54
La (0.7437, 0.8804, 0.4379)  6 O 2.32-2.54
Ti (0.3632, 0.0638, 0.2632)  4 O 1.85-1.89
Ti (0.4316, 0.6156, 0.7180)  4 O 1.78-1.89
Ti (0.4955, 0.1808, 0.8322)  4 O 1.82-1.93
Ti (0.6659, 0.3165, 0.3625)  5 O 1.88-2.07
Ti (0.8635, 0.5546, 0.0969)  5 O 1.79-1.98
Ti (0.9091, 0.6622, 0.7747)  5 O 1.86-2.02
O (0.0828, 0.0186, 0.3851)  1 Ti 1.85
O (0.1696, 0.7625, 0.7686)  2 Ti 1.86-1.89
O (0.2687, 0.1154, 0.7598)  1 Ti 1.82
O (0.3439, 0.2760, 0.3869)  2 Ti 1.89-2.06
O (0.3480, 0.0971, 0.0483)  2 Ti 1.86-1.93
O (0.4601, 0.8441, 0.3234)  1 Ti 1.85
O (0.4697, 0.4269, 0.8458)  2 Ti 1.83-1.85
O (0.5121, 0.5436, 0.5072)  1 Ti 1.78
O (0.5999, 0.4728, 0.1789)  1 Ti 1.79
O (0.6402, 0.7662, 0.7170)  2 Ti 1.81-2.02
O (0.6777, 0.1961, 0.5550)  1 Ti 1.88
O (0.6982, 0.1051, 0.2357)  1 Ti 1.89
O (0.7736, 0.7555, 0.9862)  2 Ti 1.87-1.92
O (0.7790, 0.1014, 0.8304)  1 Ti 1.87
O (0.9438, 0.3953, 0.2600)  2 Ti 1.88-1.98
O (0.9664, 0.4538, 0.8794)  2 Ti 1.86-1.91
O (0.9931, 0.5594, 0.5618)  1 Ti 1.88
O (0.9991, 0.7372, 0.1894)  1 Ti 1.95

Below is NaAlH4 after structural relaxation, with properties calculated at the GGA-PBEsol level.

Results
symmetry = Cmc2_1
density of states at the Fermi level = 0.000 states/eV/atom
raw total energy = -3.219 eV/atom

a = 6.9223 Å, b = 6.9223 Å, c = 5.0238 Å
α = 90.00°, β = 90.00°, γ = 150.60°
Closest atoms and distances in Å follow each position.
Sites, in units of the cell vectors:
Na (0.1670, 0.8330, 0.5000)  5 H 2.18-2.24
Na (0.8330, 0.1670, 0.0000)  5 H 2.18-2.24
Al (0.4138, 0.5862, 0.4650)  6 H 1.66-1.85
Al (0.5862, 0.4138, 0.9650)  6 H 1.66-1.85
H (0.0751, 0.9249, 0.9402)  2 Al 1.77
H (0.3108, 0.6892, 0.2708)  1 Al 1.69
H (0.3479, 0.6521, 0.7458)  1 Al 1.66
H (0.4728, 0.5272, 0.1312)  2 Al 1.73-1.85
H (0.5272, 0.4728, 0.6312)  2 Al 1.73-1.85
H (0.6521, 0.3479, 0.2458)  1 Al 1.66
H (0.6892, 0.3108, 0.7708)  1 Al 1.69
H (0.9249, 0.0751, 0.4402)  2 Al 1.77

Below is Ca2Mg2Zn after structural relaxation, with properties calculated at the GGA-PBEsol level.

Results
symmetry = P-3m1
density of states at the Fermi level = 0.693 states/eV/atom
raw total energy = -1.828 eV/atom

a = 4.6224 Å, b = 4.6224 Å, c = 7.8791 Å
α = 90.00°, β = 90.00°, γ = 120.00°
Closest atoms and distances in Å follow each position.
Sites, in units of the cell vectors:
Ca (0.3333, 0.6667, 0.1702)  4 Mg 3.24-3.35
Ca (0.6667, 0.3333, 0.8298)  4 Mg 3.24-3.35
Mg (0.3333, 0.6667, 0.5957)  3 Zn 2.77, 3 Mg 3.07
Mg (0.6667, 0.3333, 0.4043)  3 Zn 2.77, 3 Mg 3.07
Zn (0.0000, 0.0000, 0.5000)  6 Mg 2.77

Below is Sc2BeSn after structural relaxation, with properties calculated at the GGA-PBEsol level.

Results
symmetry = Fm-3m
density of states at the Fermi level = 0.430 states/eV/atom
raw total energy = -5.658 eV/atom

a = 4.7276 Å, b = 4.7276 Å, c = 4.7276 Å
α = 60.00°, β = 60.00°, γ = 60.00°
Closest atoms and distances in Å follow each position.
Sites, in units of the cell vectors:
Sc (0.2500, 0.2500, 0.2500)  4 Sn 2.90, 4 Be 2.90
Sc (0.7500, 0.7500, 0.7500)  4 Sn 2.90, 4 Be 2.90
Be (0.0000, 0.0000, 0.0000)  8 Sc 2.90
Sn (0.5000, 0.5000, 0.5000)  8 Sc 2.90

Below is BaGaPb3 after structural relaxation, with properties calculated at the GGA-PBEsol level.

Results
symmetry = Pm-3m
density of states at the Fermi level = 0.578 states/eV/atom
raw total energy = -3.579 eV/atom

a = 5.5113 Å, b = 5.5113 Å, c = 5.5113 Å
α = 90.00°, β = 90.00°, γ = 90.00°
Closest atoms and distances in Å follow each position.
Sites, in units of the cell vectors:
Ba (0.0000, 0.0000, 0.0000)  12 Pb 3.90
Ga (0.5000, 0.5000, 0.5000)  6 Pb 2.76
Pb (0.0000, 0.5000, 0.5000)  2 Ga 2.76
Pb (0.5000, 0.0000, 0.5000)  2 Ga 2.76
Pb (0.5000, 0.5000, 0.0000)  2 Ga 2.76

Below is FeRu3 after structural relaxation, with properties calculated at the GGA-PBEsol level.

Results
symmetry = P-6m2
density of states at the Fermi level = 0.865 states/eV/atom
raw total energy = -9.811 eV/atom

a = 2.6438 Å, b = 2.6438 Å, c = 8.2605 Å
α = 90.00°, β = 90.00°, γ = 120.00°
Closest atoms and distances in Å follow each position.
Sites, in units of the cell vectors:
Fe (0.0000, 0.0000, 0.0000)  6 Ru 2.50, 6 Fe 2.64
Ru (0.0000, 0.0000, 0.5000)  12 Ru 2.64
Ru (0.6667, 0.3333, 0.2395)  3 Fe 2.50, 9 Ru 2.64
Ru (0.6667, 0.3333, 0.7605)  3 Fe 2.50, 9 Ru 2.64